Computed, not measured: crystalline Rb2AcHoS4 at its relaxed geometry at the PBE level of DFT.

abc: 7.3941 4.2634 8.1001
angles: 90.00 107.58 90.00
With the nearest neighbours (Å) after each atom.
Space group P2/m (No. 10)
Asymmetric unit:
Rb1 0.0000 0.0000 0.0000 [1 per cell]  6 S 3.47-3.49
Rb2 0.5000 0.5000 0.0000 [1 per cell]  6 S 3.33
Ac1 0.0000 0.5000 0.5000 [1 per cell]  6 S 2.97-2.98
Ho1 0.5000 0.0000 0.5000 [1 per cell]  6 S 2.78-2.83
S1 0.2531 0.0000 0.6998 [2 per cell]  1 Ho 2.78, 2 Ac 2.97
S2 0.2858 0.5000 0.3071 [2 per cell]  2 Ho 2.83, 1 Ac 2.98

The calculated volume is 243.42 Å³ per cell. Its density of states at the Fermi level is 0.00 states/eV/cell. As for the magnetization: 0.00 μB per cell. The value obtained for the density is 4.7 g/cm3. The total energy comes out at -5.2326 eV per atom.

***

Computed, not measured: crystalline Rb3Ac2HoS6 at its relaxed geometry at the PBE level of DFT.

abc: 7.5026 12.9956 8.1230
angles: 90.00 107.97 90.00
With the nearest neighbours (Å) after each atom.
Space group C2/m (No. 12)
Asymmetric unit:
Rb1 0.0000 0.0000 0.0000 [2 per cell]  6 S 3.37-3.54
Rb2 0.0000 0.3333 0.0000 [4 per cell]  6 S 3.37-3.53
Ac1 0.0000 0.1666 0.5000 [4 per cell]  6 S 3.00
Ho1 0.0000 0.5000 0.5000 [2 per cell]  6 S 2.80-2.81
S1 0.2228 0.3434 0.6985 [8 per cell]  1 Ho 2.81, 2 Ac 3.00
S2 0.2470 0.5000 0.3021 [4 per cell]  1 Ho 2.80, 2 Ac 3.00

The calculated volume is 753.38 Å³ per cell. Its density of states at the Fermi level is 0.00 states/eV/cell. As for the magnetization: 0.00 μB per cell. The value obtained for the density is 4.7 g/cm3. The total energy comes out at -5.2276 eV per atom.

***

Computed, not measured: crystalline Rb4Ac3HoSe8 at its relaxed geometry at the PBE level of DFT.

abc: 9.0330 9.0330 24.1362
angles: 90.00 90.00 120.00
With the nearest neighbours (Å) after each atom.
Space group R-3m (No. 166, hexagonal axes)
Asymmetric unit:
Rb1 0.0000 0.0000 0.0000 [3 per cell]  6 Se 3.65
Rb2 0.0000 0.5000 0.0000 [9 per cell]  6 Se 3.49-3.50
Ac1 0.0000 0.5000 0.5000 [9 per cell]  6 Se 3.11-3.13
Ho1 0.0000 0.0000 0.5000 [3 per cell]  6 Se 2.95
Se1 0.0000 0.0000 0.2369 [6 per cell]  3 Ac 3.11
Se2 0.0179 0.5089 0.2338 [18 per cell]  1 Ho 2.95, 2 Ac 3.13

The calculated volume is 1705.60 Å³ per cell. Its density of states at the Fermi level is 0.00 states/eV/cell. As for the magnetization: 0.00 μB per cell. The value obtained for the density is 5.3 g/cm3. The total energy comes out at -4.8132 eV per atom.